1.
# MgNi2Mo (PBEsol, relaxed)
data_MgNi2Mo
_cell_length_a 8.246
_cell_length_b 2.589
_cell_length_c 5.127
_cell_angle_alpha 90.00
_cell_angle_beta 95.93
_cell_angle_gamma 90.00
_symmetry_space_group_name_H-M 'C 1 2/m 1'
_symmetry_Int_Tables_number 12
_symmetry_space_group_name_Hall '-C 2y'
loop_
_atom_site_label
_atom_site_fract_x
_atom_site_fract_y
_atom_site_fract_z
Mg1 0.000 0.000 0.000
Ni1 0.250 0.000 0.717
Mo1 0.000 0.500 0.500
# magnetization	0.000	μB per atom
# E_form	0.195	eV per atom
# density of states at the Fermi level	5.876	states/eV/cell

***

2.
# MgNiMo2 (PBEsol, relaxed)
data_MgNiMo2
_cell_length_a 3.194
_cell_length_b 3.998
_cell_length_c 4.503
_cell_angle_alpha 90.00
_cell_angle_beta 90.00
_cell_angle_gamma 90.00
_symmetry_space_group_name_H-M 'P m m m'
_symmetry_Int_Tables_number 47
_symmetry_space_group_name_Hall '-P 2 2'
loop_
_atom_site_label
_atom_site_fract_x
_atom_site_fract_y
_atom_site_fract_z
Mg1 0.000 0.000 0.000
Ni1 0.500 0.500 0.000
Mo1 0.000 0.500 0.500
Mo2 0.500 0.000 0.500
# magnetization	0.000	μB per atom
# E_form	0.215	eV per atom
# density of states at the Fermi level	2.857	states/eV/cell

***

3.
# MgNi2Mo (PBEsol, relaxed)
data_MgNi2Mo
_cell_length_a 2.771
_cell_length_b 4.205
_cell_length_c 4.517
_cell_angle_alpha 90.00
_cell_angle_beta 90.00
_cell_angle_gamma 90.00
_symmetry_space_group_name_H-M 'P m m m'
_symmetry_Int_Tables_number 47
_symmetry_space_group_name_Hall '-P 2 2'
loop_
_atom_site_label
_atom_site_fract_x
_atom_site_fract_y
_atom_site_fract_z
Mg1 0.000 0.000 0.000
Ni1 0.000 0.500 0.500
Ni2 0.500 0.500 0.000
Mo1 0.500 0.000 0.500
# magnetization	0.000	μB per atom
# E_form	0.385	eV per atom
# density of states at the Fermi level	4.387	states/eV/cell

***

4.
# MgNi2Mo (PBEsol, relaxed)
data_MgNi2Mo
_cell_length_a 2.688
_cell_length_b 2.688
_cell_length_c 7.184
_cell_angle_alpha 90.00
_cell_angle_beta 90.00
_cell_angle_gamma 90.00
_symmetry_space_group_name_H-M 'P 4/m m m'
_symmetry_Int_Tables_number 123
_symmetry_space_group_name_Hall '-P 4 2'
loop_
_atom_site_label
_atom_site_fract_x
_atom_site_fract_y
_atom_site_fract_z
Mg1 0.000 0.000 0.000
Ni1 0.500 0.500 0.257
Mo1 0.000 0.000 0.500
# magnetization	0.000	μB per atom
# E_form	-0.058	eV per atom
# density of states at the Fermi level	2.985	states/eV/cell

***

5.
# MgNiMo2 (PBEsol, relaxed)
data_MgNiMo2
_cell_length_a 9.007
_cell_length_b 2.600
_cell_length_c 5.004
_cell_angle_alpha 90.00
_cell_angle_beta 97.40
_cell_angle_gamma 90.00
_symmetry_space_group_name_H-M 'C 1 m 1'
_symmetry_Int_Tables_number 8
_symmetry_space_group_name_Hall 'C -2y'
loop_
_atom_site_label
_atom_site_fract_x
_atom_site_fract_y
_atom_site_fract_z
Mg1 0.000 0.000 0.000
Ni1 0.246 0.500 0.207
Mo1 0.236 0.000 0.718
Mo2 0.469 0.000 0.485
# magnetization	0.000	μB per atom
# E_form	0.290	eV per atom
# density of states at the Fermi level	6.312	states/eV/cell

***

6.
# MgNiMoP2O9 (PBEsol, relaxed)
data_MgNiMoP2O9
_cell_length_a 14.031
_cell_length_b 6.349
_cell_length_c 7.310
_cell_angle_alpha 90.00
_cell_angle_beta 90.00
_cell_angle_gamma 90.00
_symmetry_space_group_name_H-M 'P n m a'
_symmetry_Int_Tables_number 62
_symmetry_space_group_name_Hall '-P 2ac 2n'
loop_
_atom_site_label
_atom_site_fract_x
_atom_site_fract_y
_atom_site_fract_z
Mg1 0.206 0.250 0.067
Ni1 0.000 0.000 0.000
Mo1 0.120 0.250 0.648
P1 0.073 0.750 0.649
P2 0.187 0.750 0.126
O1 0.005 0.250 0.498
O2 0.027 0.750 0.838
O3 0.072 0.250 0.873
O4 0.131 0.541 0.121
O5 0.143 0.564 0.622
O6 0.236 0.250 0.472
O7 0.248 0.250 0.802
# formation energy (no corrections)	-27.6	eV per formula unit
# magnetization	0.141	μB per atom
# density of states at the Fermi level	3.367	states/eV/cell

***

- What is the density of states at the Fermi level in the fifth record?
  6.312 states/eV/cell